[1]
The following is a DFT calculation (PBE-GGA) of Ce2Pm3Dy6Y after structural relaxation.

Structure (POSCAR):
```
Ce2Pm3Dy6Y
1.0
-4.976 0.606 3.620
-0.657 -0.224 -6.144
0.855 -11.671 1.370
Dy Pm Y Ce
6 3 1 2
direct
0.419 0.083 0.247
0.747 0.747 0.247
0.253 0.253 0.753
0.581 0.917 0.753
0.083 0.419 0.247
0.917 0.581 0.753
0.166 0.834 0.500
0.500 0.500 0.500
0.834 0.166 0.500
0.000 0.000 0.000
0.334 0.666 0.000
0.666 0.334 0.000
```

## Properties
Its volume is 384.2 Å³ per cell. The space group is C2/m, No. 12. For the total energy, the calculation gives -4.970 eV/atom. The value obtained for the magnetization is 1.94 μB per formula unit. For the formation energy, the calculation gives 0.046 eV/atom.


[2]
The following is a DFT calculation (PBE-GGA) of Ac2Cd3Ga after structural relaxation.

Structure (POSCAR):
```
Ac2Cd3Ga
1.0
3.970 0.000 0.000
0.000 5.049 0.000
0.000 0.000 8.707
Cd Ac Ga
3 2 1
direct
0.500 0.000 0.167
0.500 0.000 0.829
0.500 0.500 0.665
0.000 0.500 0.012
0.000 0.000 0.489
0.500 0.500 0.337
```

## Properties
Its volume is 174.5 Å³ per cell. The space group is Pmm2, No. 25. For the total energy, the calculation gives -2.703 eV/atom. Its energy above the most stable polymorph in this dataset is 0.0032 eV per atom. The value obtained for the magnetization is 0.00 μB per formula unit. For the formation energy, the calculation gives -0.372 eV/atom.


[3]
The following is a DFT calculation (PBE-GGA) of CaPuHgAs after structural relaxation.

Structure (POSCAR):
```
CaPuHgAs
1.0
-2.703 4.477 0.058
-2.829 1.401 -4.170
-5.224 -0.102 0.230
As Ca Pu Hg
1 1 1 1
direct
0.000 0.000 0.000
0.750 0.750 0.750
0.250 0.250 0.250
0.500 0.500 0.500
```

## Properties
Its volume is 101.2 Å³ per cell. The space group is F-43m, No. 216. For the total energy, the calculation gives -5.863 eV/atom. The value obtained for the magnetization is 6.24 μB per formula unit. For the formation energy, the calculation gives -0.542 eV/atom.


[4]
The following is a DFT calculation (PBE-GGA) of Cu2NiAg after structural relaxation.

Structure (POSCAR):
```
Cu2NiAg
1.0
-0.756 -2.367 1.121
2.578 -0.467 0.753
-1.199 3.294 6.149
Ni Ag Cu
1 1 2
direct
0.000 0.000 0.474
0.500 0.500 0.746
0.500 0.500 0.255
0.000 0.000 0.025
```

## Properties
Its volume is 52.6 Å³ per cell. The space group is P4mm, No. 99. For the total energy, the calculation gives -4.085 eV/atom. The value obtained for the magnetization is 0.00 μB per formula unit. For the formation energy, the calculation gives 0.121 eV/atom.


[5]
The following is a DFT calculation (PBE-GGA) of Ca6Si3H2O13 after structural relaxation.

Structure (POSCAR):
```
Ca6Si3H2O13
1.0
-3.089 0.255 -6.159
5.965 -3.074 -2.011
-4.807 -11.414 3.880
H O Ca Si
4 26 12 6
direct
0.806 0.972 0.728
0.064 0.116 0.674
0.936 0.884 0.326
0.194 0.028 0.272
0.620 0.491 0.165
0.885 0.488 0.831
0.391 0.196 0.052
0.848 0.130 0.490
0.521 0.219 0.566
0.385 0.815 0.195
0.189 0.204 0.684
0.751 0.335 0.001
0.249 0.665 0.999
0.380 0.509 0.835
0.742 0.153 0.177
0.615 0.185 0.805
0.609 0.804 0.948
0.984 0.146 0.908
0.016 0.854 0.092
0.258 0.847 0.823
0.115 0.512 0.169
0.152 0.870 0.510
0.357 0.633 0.610
0.643 0.367 0.390
0.832 0.488 0.582
0.763 0.840 0.700
0.168 0.512 0.418
0.237 0.160 0.300
0.811 0.796 0.316
0.479 0.781 0.434
0.314 0.189 0.875
0.809 0.799 0.514
0.106 0.524 0.709
0.920 0.802 0.900
0.438 0.967 0.678
0.080 0.198 0.100
0.407 0.523 0.296
0.593 0.477 0.704
0.191 0.201 0.486
0.562 0.033 0.322
0.894 0.476 0.291
0.686 0.811 0.125
0.385 0.710 0.902
0.190 0.717 0.116
0.615 0.290 0.098
0.810 0.283 0.884
0.285 0.699 0.491
0.715 0.301 0.509
```

## Properties
Its volume is 614.7 Å³ per cell. The space group is P-1, No. 2. For the total energy, the calculation gives -6.961 eV/atom. The value obtained for the magnetization is 0.00 μB per formula unit.


[6]
The following is a DFT calculation (PBE-GGA) of La4Ho5Sc2 after structural relaxation.

Structure (POSCAR):
```
La4Ho5Sc2
1.0
3.212 -0.723 -1.262
-1.273 9.969 0.445
-1.552 2.512 12.264
Sc Ho La
2 5 4
direct
0.231 0.521 0.745
0.769 0.479 0.255
0.846 0.163 0.753
0.500 0.000 0.000
0.835 0.648 0.464
0.165 0.352 0.536
0.154 0.837 0.247
0.084 0.138 0.335
0.916 0.862 0.665
0.064 0.338 0.996
0.936 0.662 0.004
```

## Properties
Its volume is 362.8 Å³ per cell. The space group is P-1, No. 2. For the total energy, the calculation gives -4.870 eV/atom. The value obtained for the magnetization is 0.00 μB per formula unit. For the formation energy, the calculation gives 0.154 eV/atom.


[7]
The following is a DFT calculation (PBE-GGA) of TaBRu3 after structural relaxation.

Structure (POSCAR):
```
TaBRu3
1.0
-5.022 1.891 -0.028
-0.458 -5.344 0.172
0.032 0.164 5.181
Ru B Ta
6 2 2
direct
0.526 0.082 0.250
0.474 0.918 0.750
0.082 0.526 0.750
0.000 0.000 0.000
0.918 0.474 0.250
0.000 0.000 0.500
0.191 0.809 0.250
0.809 0.191 0.750
0.547 0.453 0.750
0.453 0.547 0.250
```

## Properties
Its volume is 143.7 Å³ per cell. The space group is Cmcm, No. 63. For the total energy, the calculation gives -8.998 eV/atom. The value obtained for the magnetization is 0.00 μB per formula unit. For the formation energy, the calculation gives 0.274 eV/atom.


[8]
The following is a DFT calculation (PBE-GGA) of LiTmSc after structural relaxation.

Structure (POSCAR):
```
LiTmSc
1.0
-2.742 1.291 -1.353
0.977 -3.062 -0.829
-4.379 -3.019 5.992
Sc Li Tm
1 1 1
direct
0.333 0.667 0.669
0.000 0.000 0.993
0.667 0.333 0.338
```

## Properties
Its volume is 76.4 Å³ per cell. The space group is P3m1, No. 156. For the total energy, the calculation gives -4.097 eV/atom. Its energy above the most stable polymorph in this dataset is 0.0703 eV per atom. The value obtained for the magnetization is 0.05 μB per formula unit. For the formation energy, the calculation gives 0.142 eV/atom.


[9]
The following is a DFT calculation (PBE-GGA) of Tb8InSn5 after structural relaxation.

Structure (POSCAR):
```
Tb8InSn5
1.0
7.638 0.000 -2.652
-3.799 6.600 -2.717
-0.040 0.000 8.085
Tb Sn In
8 5 1
direct
0.483 0.608 0.236
0.128 0.753 0.020
0.980 0.107 0.733
0.764 0.247 0.371
0.267 0.247 0.374
0.124 0.753 0.517
0.626 0.893 0.872
0.629 0.392 0.876
0.872 0.875 0.249
0.374 0.125 0.997
0.003 0.377 0.128
0.500 0.000 0.500
0.751 0.623 0.626
0.250 0.500 0.750
```

## Properties
Its volume is 406.8 Å³ per cell. The space group is I-4, No. 82. For the total energy, the calculation gives -4.933 eV/atom. The value obtained for the magnetization is 0.00 μB per formula unit. For the formation energy, the calculation gives -0.662 eV/atom.


[10]
The following is a DFT calculation (PBE-GGA) of MnV2Mo after structural relaxation.

Structure (POSCAR):
```
MnV2Mo
1.0
2.987 0.000 0.000
0.000 4.219 0.000
0.000 0.000 4.219
V Mn Mo
2 1 1
direct
0.000 0.000 0.500
0.000 0.500 0.000
0.500 0.500 0.500
0.500 0.000 0.000
```

## Properties
Its volume is 53.2 Å³ per cell. The space group is P4/mmm, No. 123. For the total energy, the calculation gives -9.710 eV/atom. The value obtained for the magnetization is 0.01 μB per formula unit. For the formation energy, the calculation gives -0.150 eV/atom.


[11]
The following is a DFT calculation (PBE-GGA) of Mn2NiHg after structural relaxation.

Structure (POSCAR):
```
Mn2NiHg
1.0
-1.157 -1.663 4.307
3.798 -2.256 1.771
-0.441 4.350 -1.880
Mn Ni Hg
2 1 1
direct
0.500 0.500 0.000
0.000 0.000 0.000
0.250 0.750 0.500
0.750 0.250 0.500
```

## Properties
Its volume is 60.3 Å³ per cell. The space group is I4/mmm, No. 139. For the total energy, the calculation gives -5.842 eV/atom. The value obtained for the magnetization is 7.90 μB per formula unit. For the formation energy, the calculation gives 0.263 eV/atom.


[12]
The following is a DFT calculation (PBE-GGA) of SrZrSc after structural relaxation.

Structure (POSCAR):
```
SrZrSc
1.0
-4.360 -1.650 -2.693
0.368 -1.218 -5.231
-0.393 -5.124 -1.605
Sc Sr Zr
1 1 1
direct
0.000 0.000 0.000
0.500 0.500 0.500
0.750 0.750 0.750
```

## Properties
Its volume is 110.3 Å³ per cell. The space group is F-43m, No. 216. For the total energy, the calculation gives -4.422 eV/atom. Its energy above the most stable polymorph in this dataset is 0.8246 eV per atom. The value obtained for the magnetization is 3.62 μB per formula unit. For the formation energy, the calculation gives 1.098 eV/atom.